# NdPaP

NdPaP after structural relaxation (GGA-PBE, Alexandria).

- DOS at the Fermi energy: 1.2570 states/eV/atom
- Total moment: 0.00 μB per formula unit
- Relative energy among the computed polymorphs: 0 meV/atom
- Energy: -7.22 eV per atom
- Crystal system: orthorhombic
- Symmetry: No. 62

Unit cell a=13.2561 b=3.8589 c=6.0530 alpha=90.00 beta=90.00 gamma=90.00
Last column: nearest neighbours and their distance in Å.
Positions (direct):
Nd (0.2129, 0.2500, 0.1877)  3 P 2.84-2.89
Nd (0.2871, 0.7500, 0.6877)  3 P 2.84-2.89
Nd (0.7129, 0.2500, 0.3123)  3 P 2.84-2.89
Nd (0.7871, 0.7500, 0.8123)  3 P 2.84-2.89
Pa (0.0233, 0.2500, 0.6628)  3 P 2.78-2.92, 2 Pa 2.83
Pa (0.4767, 0.7500, 0.1628)  3 P 2.78-2.92, 2 Pa 2.83
Pa (0.5233, 0.2500, 0.8372)  3 P 2.78-2.92, 2 Pa 2.83
Pa (0.9767, 0.7500, 0.3372)  3 P 2.78-2.92, 2 Pa 2.83
P (0.1030, 0.7500, 0.9426)  3 Pa 2.78-2.92, 3 Nd 2.84-2.89
P (0.3970, 0.2500, 0.4426)  3 Pa 2.78-2.92, 3 Nd 2.84-2.89
P (0.6030, 0.7500, 0.5574)  3 Pa 2.78-2.92, 3 Nd 2.84-2.89
P (0.8970, 0.2500, 0.0574)  3 Pa 2.78-2.92, 3 Nd 2.84-2.89

# NiHPd2I

NiHPd2I after structural relaxation (GGA-PBE, Alexandria).

- DOS at the Fermi energy: 1.6775 states/eV/atom
- Total moment: 1.59 μB per formula unit
- Energy: -3.13 eV per atom
- Crystal system: tetragonal
- Symmetry: No. 123

Unit cell a=4.7853 b=4.7853 c=4.8199 alpha=90.00 beta=90.00 gamma=90.00
Last column: nearest neighbours and their distance in Å.
Positions (direct):
Ni (0.0000, 0.0000, 0.0000)  4 Pd 2.39, 2 I 2.41
H (0.5000, 0.5000, 0.5000)  4 I 3.38, 8 Pd 3.40
Pd (0.0000, 0.5000, 0.0000)  2 Ni 2.39
Pd (0.5000, 0.0000, 0.0000)  2 Ni 2.39
I (0.0000, 0.0000, 0.5000)  2 Ni 2.41